Computed, not measured: a geometry-optimized Li2As2Pd3 structure at the PBE level of DFT.

a = 7.272 Å, b = 7.272 Å, c = 7.272 Å
α = 34.22°, β = 34.22°, γ = 34.22°
Sites, in units of the cell vectors:
Li (0.000, 0.000, 0.000)
Li (0.473, 0.473, 0.473)
As (0.226, 0.226, 0.226)
As (0.733, 0.733, 0.733)
Pd (0.350, 0.350, 0.350)
Pd (0.605, 0.605, 0.605)
Pd (0.860, 0.860, 0.860)

Total energy, eV per cell: -32.43